(1)
! LaNbReTe2 (PBE, relaxed); values from VASP
&SYSTEM
  ibrav = 0, nat = 5, ntyp = 4
/
ATOMIC_SPECIES
La 138.91 La.upf
Nb 92.91 Nb.upf
Re 186.21 Re.upf
Te 127.60 Te.upf
CELL_PARAMETERS angstrom
5.9400 0.0000 0.0000
0.0000 5.9400 0.0000
0.0000 0.0000 4.9382
ATOMIC_POSITIONS crystal
La 0.0000 0.0000 0.0000
Nb 0.5000 0.5000 0.5000
Re 0.0000 0.0000 0.5000
Te 0.0000 0.5000 0.0000
Te 0.5000 0.0000 0.0000
! symmetry: P4/mmm (123)
! volume: 34.8 Å³/atom
! formation energy without anion corrections: 1846 meV per atom
! theoretical density: 6.42 g cm⁻³

(2)
! La2NbZnRe (PBE, relaxed); values from VASP
&SYSTEM
  ibrav = 0, nat = 5, ntyp = 4
/
ATOMIC_SPECIES
La 138.91 La.upf
Nb 92.91 Nb.upf
Zn 65.41 Zn.upf
Re 186.21 Re.upf
CELL_PARAMETERS angstrom
5.3957 0.0000 0.0000
0.0000 5.3957 0.0000
0.0000 0.0000 4.8379
ATOMIC_POSITIONS crystal
La 0.0000 0.5000 0.0000
La 0.5000 0.0000 0.0000
Nb 0.0000 0.0000 0.0000
Zn 0.0000 0.0000 0.5000
Re 0.5000 0.5000 0.5000
! symmetry: P4/mmm (123)
! volume: 28.2 Å³/atom
! ΔH_f (0 K): 1.46 eV/atom
! theoretical density: 7.34 g cm⁻³

(3)
! LaZrNbRe2 (PBE, relaxed); values from VASP
&SYSTEM
  ibrav = 0, nat = 5, ntyp = 4
/
ATOMIC_SPECIES
La 138.91 La.upf
Zr 91.22 Zr.upf
Nb 92.91 Nb.upf
Re 186.21 Re.upf
CELL_PARAMETERS angstrom
4.7625 0.0000 0.0000
0.0000 4.7625 0.0000
0.0000 0.0000 4.9442
ATOMIC_POSITIONS crystal
La 0.0000 0.0000 0.0000
Zr 0.0000 0.0000 0.5000
Nb 0.5000 0.5000 0.5000
Re 0.0000 0.5000 0.0000
Re 0.5000 0.0000 0.0000
! symmetry: P4/mmm (123)
! volume: 22.4 Å³/atom
! ΔH_f (0 K): 2.23 eV/atom
! theoretical density: 10.30 g cm⁻³

(4)
! LaNbRh2 (PBE, relaxed); values from VASP
&SYSTEM
  ibrav = 0, nat = 4, ntyp = 3
/
ATOMIC_SPECIES
La 138.91 La.upf
Nb 92.91 Nb.upf
Rh 102.91 Rh.upf
CELL_PARAMETERS angstrom
0.0000 3.3819 3.3819
3.3819 0.0000 3.3819
3.3819 3.3819 0.0000
ATOMIC_POSITIONS crystal
La 0.0000 0.0000 0.0000
Nb 0.5000 0.5000 0.5000
Rh 0.2500 0.2500 0.2500
Rh 0.7500 0.7500 0.7500
! symmetry: Fm-3m (225)
! volume: 19.3 Å³/atom
! ΔH_f (0 K): -0.22 eV/atom
! theoretical density: 9.39 g cm⁻³

(5)
! LaNb2Rh2 (PBE, relaxed); values from VASP
&SYSTEM
  ibrav = 0, nat = 5, ntyp = 3
/
ATOMIC_SPECIES
La 138.91 La.upf
Nb 92.91 Nb.upf
Rh 102.91 Rh.upf
CELL_PARAMETERS angstrom
-2.2573 2.2573 5.2479
2.2573 -2.2573 5.2479
2.2573 2.2573 -5.2479
ATOMIC_POSITIONS crystal
La 0.0000 0.0000 0.0000
Nb 0.2500 0.7500 0.5000
Nb 0.7500 0.2500 0.5000
Rh 0.3704 0.3704 0.0000
Rh 0.6296 0.6296 0.0000
! symmetry: I4/mmm (139)
! volume: 21.4 Å³/atom
! polymorph energy (0 for the lowest one): 0.000 eV/f.u.
! ΔH_f (0 K): -0.37 eV/atom
! theoretical density: 8.24 g cm⁻³

(6)
! LaNb2Rh2 (PBE, relaxed); values from VASP
&SYSTEM
  ibrav = 0, nat = 5, ntyp = 3
/
ATOMIC_SPECIES
La 138.91 La.upf
Nb 92.91 Nb.upf
Rh 102.91 Rh.upf
CELL_PARAMETERS angstrom
-2.3507 2.3507 4.8879
2.3507 -2.3507 4.8879
2.3507 2.3507 -4.8879
ATOMIC_POSITIONS crystal
La 0.0000 0.0000 0.0000
Nb 0.3619 0.3619 0.0000
Nb 0.6381 0.6381 0.0000
Rh 0.2500 0.7500 0.5000
Rh 0.7500 0.2500 0.5000
! symmetry: I4/mmm (139)
! volume: 21.6 Å³/atom
! polymorph energy (0 for the lowest one): 1.131 eV/f.u.
! ΔH_f (0 K): -0.14 eV/atom
! theoretical density: 8.15 g cm⁻³

(7)
! La3NbRh (PBE, relaxed); values from VASP
&SYSTEM
  ibrav = 0, nat = 5, ntyp = 3
/
ATOMIC_SPECIES
La 138.91 La.upf
Nb 92.91 Nb.upf
Rh 102.91 Rh.upf
CELL_PARAMETERS angstrom
5.4636 0.0000 0.0000
0.0000 5.4636 0.0000
0.0000 0.0000 5.4636
ATOMIC_POSITIONS crystal
La 0.0000 0.0000 0.5000
La 0.0000 0.5000 0.0000
La 0.5000 0.0000 0.0000
Nb 0.5000 0.5000 0.5000
Rh 0.0000 0.0000 0.0000
! symmetry: Pm-3m (221)
! volume: 32.6 Å³/atom
! polymorph energy (0 for the lowest one): 0.000 eV/f.u.
! ΔH_f (0 K): 0.34 eV/atom
! theoretical density: 6.24 g cm⁻³

(8)
! LaNb2Rh2 (PBE, relaxed); values from VASP
&SYSTEM
  ibrav = 0, nat = 10, ntyp = 3
/
ATOMIC_SPECIES
La 138.91 La.upf
Nb 92.91 Nb.upf
Rh 102.91 Rh.upf
CELL_PARAMETERS angstrom
7.9961 0.0000 0.0000
0.0000 7.9961 0.0000
0.0000 0.0000 2.9381
ATOMIC_POSITIONS crystal
La 0.0000 0.0000 0.0000
La 0.5000 0.5000 0.0000
Nb 0.1546 0.3454 0.0000
Nb 0.3454 0.8454 0.0000
Nb 0.6546 0.1546 0.0000
Nb 0.8454 0.6546 0.0000
Rh 0.1362 0.6362 0.5000
Rh 0.3638 0.1362 0.5000
Rh 0.6362 0.8638 0.5000
Rh 0.8638 0.3638 0.5000
! symmetry: P4/mbm (127)
! volume: 18.8 Å³/atom
! polymorph energy (0 for the lowest one): 0.770 eV/f.u.
! ΔH_f (0 K): -0.21 eV/atom
! theoretical density: 9.38 g cm⁻³

(9)
! LaNbRh2 (PBE, relaxed); values from VASP
&SYSTEM
  ibrav = 0, nat = 4, ntyp = 3
/
ATOMIC_SPECIES
La 138.91 La.upf
Nb 92.91 Nb.upf
Rh 102.91 Rh.upf
CELL_PARAMETERS angstrom
3.2296 0.0000 0.0000
0.0000 3.2296 0.0000
0.0000 0.0000 7.5076
ATOMIC_POSITIONS crystal
La 0.0000 0.0000 0.0000
Nb 0.0000 0.0000 0.5000
Rh 0.5000 0.5000 0.3052
Rh 0.5000 0.5000 0.6948
! symmetry: P4/mmm (123)
! volume: 19.6 Å³/atom
! ΔH_f (0 K): -0.45 eV/atom
! theoretical density: 9.28 g cm⁻³

(10)
! LaNbRh2 (PBE, relaxed); values from VASP
&SYSTEM
  ibrav = 0, nat = 8, ntyp = 3
/
ATOMIC_SPECIES
La 138.91 La.upf
Nb 92.91 Nb.upf
Rh 102.91 Rh.upf
CELL_PARAMETERS angstrom
-3.7003 3.7003 3.0621
3.7003 -3.7003 3.0621
3.7003 3.7003 -3.0621
ATOMIC_POSITIONS crystal
La 0.0000 0.0000 0.0000
La 0.7500 0.2500 0.5000
Nb 0.2500 0.7500 0.5000
Nb 0.5000 0.5000 0.0000
Rh 0.1634 0.6250 0.0384
Rh 0.3750 0.4134 0.5384
Rh 0.5866 0.1250 0.9616
Rh 0.8750 0.8366 0.4616
! symmetry: I-42d (122)
! volume: 21.0 Å³/atom
! ΔH_f (0 K): -0.11 eV/atom
! theoretical density: 8.67 g cm⁻³

(11)
! La2NbRh (PBE, relaxed); values from VASP
&SYSTEM
  ibrav = 0, nat = 4, ntyp = 3
/
ATOMIC_SPECIES
La 138.91 La.upf
Nb 92.91 Nb.upf
Rh 102.91 Rh.upf
CELL_PARAMETERS angstrom
0.0000 3.6732 3.6732
3.6732 0.0000 3.6732
3.6732 3.6732 0.0000
ATOMIC_POSITIONS crystal
La 0.2500 0.2500 0.2500
La 0.7500 0.7500 0.7500
Nb 0.0000 0.0000 0.0000
Rh 0.5000 0.5000 0.5000
! symmetry: Fm-3m (225)
! volume: 24.8 Å³/atom
! polymorph energy (0 for the lowest one): 0.000 eV/f.u.
! ΔH_f (0 K): 0.14 eV/atom
! theoretical density: 7.93 g cm⁻³

(12)
! La2NbRh (PBE, relaxed); values from VASP
&SYSTEM
  ibrav = 0, nat = 8, ntyp = 3
/
ATOMIC_SPECIES
La 138.91 La.upf
Nb 92.91 Nb.upf
Rh 102.91 Rh.upf
CELL_PARAMETERS angstrom
-3.9944 3.9944 3.1575
3.9944 -3.9944 3.1575
3.9944 3.9944 -3.1575
ATOMIC_POSITIONS crystal
La 0.0928 0.6250 0.9678
La 0.3750 0.3428 0.4678
La 0.6572 0.1250 0.0322
La 0.8750 0.9072 0.5322
Nb 0.2500 0.7500 0.5000
Nb 0.5000 0.5000 0.0000
Rh 0.0000 0.0000 0.0000
Rh 0.7500 0.2500 0.5000
! symmetry: I-42d (122)
! volume: 25.2 Å³/atom
! polymorph energy (0 for the lowest one): 0.481 eV/f.u.
! ΔH_f (0 K): 0.26 eV/atom
! theoretical density: 7.81 g cm⁻³

(13)
! LaNbRu (PBE, relaxed); values from VASP
&SYSTEM
  ibrav = 0, nat = 3, ntyp = 3
/
ATOMIC_SPECIES
La 138.91 La.upf
Nb 92.91 Nb.upf
Ru 101.07 Ru.upf
CELL_PARAMETERS angstrom
3.2168 0.0000 0.0000
0.0000 4.1184 0.0000
-1.4671 0.0000 5.4412
ATOMIC_POSITIONS crystal
La 0.0000 0.0000 0.0000
Nb 0.0000 0.5000 0.5000
Ru 0.5000 0.0000 0.5000
! symmetry: P2/m (10)
! volume: 24.0 Å³/atom
! ΔH_f (0 K): 0.14 eV/atom
! theoretical density: 7.67 g cm⁻³

(14)
! LaNbRu (PBE, relaxed); values from VASP
&SYSTEM
  ibrav = 0, nat = 6, ntyp = 3
/
ATOMIC_SPECIES
La 138.91 La.upf
Nb 92.91 Nb.upf
Ru 101.07 Ru.upf
CELL_PARAMETERS angstrom
5.7818 -2.1671 0.0000
5.7818 2.1671 0.0000
-1.6819 0.0000 5.4151
ATOMIC_POSITIONS crystal
La 0.1898 0.1898 0.2123
La 0.8102 0.8102 0.7877
Nb 0.4941 0.4941 0.2653
Nb 0.5059 0.5059 0.7347
Ru 0.1113 0.1113 0.6656
Ru 0.8887 0.8887 0.3344
! symmetry: C2/m (12)
! volume: 22.6 Å³/atom
! ΔH_f (0 K): 0.06 eV/atom
! theoretical density: 8.15 g cm⁻³

(15)
! LaNbRu (PBE, relaxed); values from VASP
&SYSTEM
  ibrav = 0, nat = 6, ntyp = 3
/
ATOMIC_SPECIES
La 138.91 La.upf
Nb 92.91 Nb.upf
Ru 101.07 Ru.upf
CELL_PARAMETERS angstrom
4.1235 -3.7175 0.0000
4.1235 3.7175 0.0000
-3.8593 0.0000 4.1259
ATOMIC_POSITIONS crystal
La 0.1092 0.8908 0.7500
La 0.8908 0.1092 0.2500
Nb 0.5000 0.5000 0.0000
Nb 0.5000 0.5000 0.5000
Ru 0.0000 0.5000 0.0000
Ru 0.5000 0.0000 0.5000
! symmetry: C2/c (15)
! volume: 21.1 Å³/atom
! ΔH_f (0 K): -0.07 eV/atom
! theoretical density: 8.74 g cm⁻³

(16)
! LaNbRu2 (PBE, relaxed); values from VASP
&SYSTEM
  ibrav = 0, nat = 4, ntyp = 3
/
ATOMIC_SPECIES
La 138.91 La.upf
Nb 92.91 Nb.upf
Ru 101.07 Ru.upf
CELL_PARAMETERS angstrom
3.2159 0.0000 0.0000
0.0000 3.2159 0.0000
0.0000 0.0000 7.3568
ATOMIC_POSITIONS crystal
La 0.0000 0.0000 0.0000
Nb 0.0000 0.0000 0.5000
Ru 0.5000 0.5000 0.2972
Ru 0.5000 0.5000 0.7028
! symmetry: P4/mmm (123)
! volume: 19.0 Å³/atom
! ΔH_f (0 K): -0.17 eV/atom
! theoretical density: 9.47 g cm⁻³

(17)
! LaNb3Ru (PBE, relaxed); values from VASP
&SYSTEM
  ibrav = 0, nat = 5, ntyp = 3
/
ATOMIC_SPECIES
La 138.91 La.upf
Nb 92.91 Nb.upf
Ru 101.07 Ru.upf
CELL_PARAMETERS angstrom
4.9259 0.0000 0.0000
0.0000 4.9259 0.0000
0.0000 0.0000 4.9259
ATOMIC_POSITIONS crystal
La 0.0000 0.0000 0.0000
Nb 0.0000 0.5000 0.5000
Nb 0.5000 0.0000 0.5000
Nb 0.5000 0.5000 0.0000
Ru 0.5000 0.5000 0.5000
! symmetry: Pm-3m (221)
! volume: 23.9 Å³/atom
! polymorph energy (0 for the lowest one): 0.000 eV/f.u.
! ΔH_f (0 K): 0.62 eV/atom
! theoretical density: 7.21 g cm⁻³

(18)
! LaNbRu (PBE, relaxed); values from VASP
&SYSTEM
  ibrav = 0, nat = 6, ntyp = 3
/
ATOMIC_SPECIES
La 138.91 La.upf
Nb 92.91 Nb.upf
Ru 101.07 Ru.upf
CELL_PARAMETERS angstrom
1.7365 -6.0743 0.0000
1.7365 6.0743 0.0000
0.0000 0.0000 6.4288
ATOMIC_POSITIONS crystal
La 0.2011 0.7989 0.7500
La 0.7989 0.2011 0.2500
Nb 0.5000 0.5000 0.0000
Nb 0.5000 0.5000 0.5000
Ru 0.0928 0.9072 0.2500
Ru 0.9072 0.0928 0.7500
! symmetry: Cmcm (63)
! volume: 22.6 Å³/atom
! ΔH_f (0 K): -0.09 eV/atom
! theoretical density: 8.15 g cm⁻³

(19)
! LaNbRu3 (PBE, relaxed); values from VASP
&SYSTEM
  ibrav = 0, nat = 5, ntyp = 3
/
ATOMIC_SPECIES
La 138.91 La.upf
Nb 92.91 Nb.upf
Ru 101.07 Ru.upf
CELL_PARAMETERS angstrom
4.7784 0.0000 0.0000
0.0000 4.7784 0.0000
0.0000 0.0000 4.7784
ATOMIC_POSITIONS crystal
La 0.0000 0.0000 0.0000
Nb 0.5000 0.5000 0.5000
Ru 0.0000 0.5000 0.5000
Ru 0.5000 0.0000 0.5000
Ru 0.5000 0.5000 0.0000
! symmetry: Pm-3m (221)
! volume: 21.8 Å³/atom
! ΔH_f (0 K): 0.58 eV/atom
! theoretical density: 8.14 g cm⁻³

(20)
! LaNbRu (PBE, relaxed); values from VASP
&SYSTEM
  ibrav = 0, nat = 6, ntyp = 3
/
ATOMIC_SPECIES
La 138.91 La.upf
Nb 92.91 Nb.upf
Ru 101.07 Ru.upf
CELL_PARAMETERS angstrom
4.5846 0.0000 0.0000
0.0000 4.5846 0.0000
0.0000 0.0000 6.6932
ATOMIC_POSITIONS crystal
La 0.2500 0.2500 0.1373
La 0.7500 0.7500 0.8627
Nb 0.2500 0.7500 0.5000
Nb 0.7500 0.2500 0.5000
Ru 0.2500 0.2500 0.6841
Ru 0.7500 0.7500 0.3159
! symmetry: P4/nmm (129)
! volume: 23.4 Å³/atom
! ΔH_f (0 K): -0.18 eV/atom
! theoretical density: 7.86 g cm⁻³